## Sr10Fe10O29 (GGA+U)

Data for an optimized crystal structure of Sr10Fe10O29.

abc: 3.904 7.855 19.657
angles: 90.00 90.00 90.00
Fractional positions:
Sr 0.000 0.234 0.000
Sr 0.000 0.245 0.203
Sr 0.000 0.245 0.797
Sr 0.000 0.250 0.401
Sr 0.000 0.250 0.599
Sr 0.000 0.750 0.401
Sr 0.000 0.750 0.599
Sr 0.000 0.755 0.203
Sr 0.000 0.755 0.797
Sr 0.000 0.766 0.000
Fe 0.500 0.000 0.100
Fe 0.500 0.000 0.301
Fe 0.500 0.000 0.500
Fe 0.500 0.000 0.699
Fe 0.500 0.000 0.900
Fe 0.500 0.500 0.105
Fe 0.500 0.500 0.302
Fe 0.500 0.500 0.500
Fe 0.500 0.500 0.698
Fe 0.500 0.500 0.895
O 0.000 0.000 0.101
O 0.000 0.000 0.299
O 0.000 0.000 0.500
O 0.000 0.000 0.701
O 0.000 0.000 0.899
O 0.000 0.500 0.083
O 0.000 0.500 0.300
O 0.000 0.500 0.500
O 0.000 0.500 0.700
O 0.000 0.500 0.917
O 0.500 0.000 0.000
O 0.500 0.000 0.198
O 0.500 0.000 0.401
O 0.500 0.000 0.599
O 0.500 0.000 0.802
O 0.500 0.249 0.300
O 0.500 0.249 0.700
O 0.500 0.252 0.500
O 0.500 0.260 0.093
O 0.500 0.260 0.907
O 0.500 0.500 0.201
O 0.500 0.500 0.400
O 0.500 0.500 0.600
O 0.500 0.500 0.799
O 0.500 0.740 0.093
O 0.500 0.740 0.907
O 0.500 0.748 0.500
O 0.500 0.751 0.300
O 0.500 0.751 0.700

Calculated values
The calculation puts the calculated volume at 12.301 Å³/atom. The calculation puts the total energy at -6.383 eV/atom.